(1)
{"formula": "GePd", "functional": "PBE", "state": "relaxed", "lattice_angstrom": [[5.0837, 0.0000, 0.0000], [0.0000, 5.0837, 0.0000], [0.0000, 0.0000, 5.3610]], "species": ["Ge", "Ge", "Ge", "Pd", "Pd", "Pd", "Ge", "Pd"], "fractional_positions": [[0.3043, 0.3043, 0.5000], [0.1957, 0.8043, 0.0000], [0.8043, 0.1957, 0.0000], [0.6973, 0.6973, 0.0000], [0.8027, 0.1973, 0.5000], [0.1973, 0.8027, 0.5000], [0.6957, 0.6957, 0.5000], [0.3027, 0.3027, 0.0000]], "dft_energy_ev_per_cell": -40.9, "density_g_cm3": 8.6, "total_magnetization_mub_per_fu": 0.0, "formation_energy_kj_per_mol_fu": -41}

(2)
{"formula": "Ba2YBiIr", "functional": "PBE", "state": "relaxed", "lattice_angstrom": [[6.0093, 0.0000, 0.0000], [0.0000, 5.3941, 0.0000], [0.0000, 0.0000, 6.0093]], "species": ["Bi", "Ba", "Ba", "Y", "Ir"], "fractional_positions": [[0.5000, 0.5000, 0.5000], [0.5000, 0.0000, 0.0000], [0.0000, 0.0000, 0.5000], [0.0000, 0.5000, 0.0000], [0.0000, 0.0000, 0.0000]], "dft_energy_ev_per_cell": -24.9, "density_g_cm3": 6.5, "total_magnetization_mub_per_fu": 0.0, "formation_energy_kj_per_mol_fu": -180}